1.
Below is an optimized crystal structure of LaGeNO2, with properties calculated at the PBE level.

Cell: 3.9098 3.9098 3.8475 Å, 90.00 90.00 90.00°
Sites, in units of the cell vectors:
Ge  0.0000  0.0000  0.0000
O  0.0000  0.5000  0.0000
O  0.5000  0.0000  0.0000
N  0.0000  0.0000  0.5000
La  0.5000  0.5000  0.5000

=====

2.
Below is an optimized crystal structure of LaGeN2O, with properties calculated at the PBE level.

Cell: 4.3728 4.3728 4.4738 Å, 90.00 90.00 90.00°
Sites, in units of the cell vectors:
Ge  0.5000  0.5000  0.5000
O  0.0000  0.0000  0.5000
N  0.5000  0.0000  0.0000
N  0.0000  0.5000  0.0000
La  0.0000  0.0000  0.0000

=====

3.
Below is an optimized crystal structure of LaGeNO2, with properties calculated at the PBE level.

Cell: 4.4597 4.4597 4.4573 Å, 90.00 90.00 90.00°
Sites, in units of the cell vectors:
Ge  0.5000  0.5000  0.5000
O  0.0000  0.5000  0.0000
O  0.5000  0.0000  0.0000
La  0.0000  0.0000  0.0000
N  0.0000  0.0000  0.5000

=====

4.
Below is an optimized crystal structure of La2GeOsN, with properties calculated at the PBE level.

Cell: 5.3000 5.3000 3.8581 Å, 90.00 90.00 90.00°
Sites, in units of the cell vectors:
Os  0.0000  0.0000  0.5000
La  0.5000  0.0000  0.0000
La  0.0000  0.5000  0.0000
Ge  0.5000  0.5000  0.5000
N  0.0000  0.0000  0.0000

=====

| no. | uncorrected formation energy (eV/atom) |
| --- | --- |
| 1 | -1.746 |
| 2 | 0.579 |
| 3 | -0.287 |
| 4 | -0.642 |